The following is a DFT calculation (GGA-PBE) of AgBr3 after structural relaxation.

a b c (Å): 7.675 4.232 7.955
angles (deg): 90.00 98.13 90.00
Space group C2/m (No. 12)
Asymmetric unit:
Ag 0.000 0.000 0.000
Br 0.000 0.500 0.500
Br 0.139 0.500 0.815

Output
- formation energy from raw total energies (eV/atom) = -0.1509
- total moment (μB/f.u.) = 0.0
- E (eV per atom) = -2.1184
- V (Å³ per atom) = 32.0